No. 1
The following is a PBE calculation of an optimized crystal structure of CsCu2SnI6, from the Alexandria database.

Output
The calculation puts the magnetization at 0.00 μB per cell. The symmetry is C2/c (15). Its formation energy (no corrections) is -0.48 eV per atom.

Cell and atoms, written as extended XYZ:
```
20
Lattice="7.028 -7.681 0.000 7.028 7.681 0.000 -0.552 0.000 7.812" Properties=species:S:1:pos:R:3 pbc="T T T"
Cs 6.614 6.223 5.859
Cs 6.890 -6.223 1.953
Cu 4.058 1.204 5.466
Cu 4.334 -1.204 1.560
Cu 9.170 1.204 6.251
Cu 9.446 -1.204 2.346
Sn 6.890 3.142 1.953
Sn 6.614 -3.142 5.859
I 1.513 1.892 5.356
I 4.874 3.078 7.070
I 1.789 -1.892 1.450
I 4.772 1.043 2.952
I 8.354 3.078 4.648
I 4.496 -1.043 6.858
I 9.008 1.043 0.954
I 5.150 -3.078 3.164
I 8.732 -1.043 4.860
I 11.715 1.892 6.362
I 8.630 -3.078 0.742
I 11.991 -1.892 2.456
```



No. 2
The following is a PBE calculation of an optimized crystal structure of Li2Ac2ZnPd5, from the Alexandria database.

Output
Its total energy is -90.3 eV for the cell shown. The calculation puts the magnetization at 0.00 μB per cell. The symmetry is P4/mbm (127).

Cell and atoms, written as extended XYZ:
```
20
Lattice="9.778 0.000 0.000 0.000 9.778 0.000 0.000 0.000 3.895" Properties=species:S:1:pos:R:3 pbc="T T T"
Li 1.136 3.753 0.000
Li 3.753 8.641 0.000
Li 6.025 1.136 0.000
Li 8.641 6.025 0.000
Ac 1.785 6.674 0.000
Ac 3.104 1.785 0.000
Ac 6.674 7.993 0.000
Ac 7.993 3.104 0.000
Zn 0.000 0.000 0.000
Zn 4.889 4.889 0.000
Pd 0.000 4.889 1.948
Pd 0.585 1.999 1.948
Pd 1.999 9.193 1.948
Pd 2.890 4.304 1.948
Pd 4.304 6.888 1.948
Pd 4.889 0.000 1.948
Pd 5.474 2.890 1.948
Pd 6.888 5.474 1.948
Pd 7.779 0.585 1.948
Pd 9.193 7.779 1.948
```



No. 3
The following is a PBE calculation of an optimized crystal structure of Ca2ReTe, from the Alexandria database.

Output
The calculation puts the magnetization at 2.75 μB per cell. The symmetry is I-4m2 (119). Its formation energy (no corrections) is 0.31 eV per atom.

Cell and atoms, written as extended XYZ:
```
4
Lattice="-2.216 2.216 5.158 2.216 -2.216 5.158 2.216 2.216 -5.158" Properties=species:S:1:pos:R:3 pbc="T T T"
Ca 0.000 0.000 0.000
Ca 0.000 2.216 2.579
Re 2.216 0.000 2.579
Te 0.000 0.000 5.158
```



No. 4
The following is a PBE calculation of an optimized crystal structure of Zr2RhW, from the Alexandria database.

Output
The calculation puts the magnetization at 0.00 μB per cell. The value obtained for the offset from the most stable computed form is 0 meV/atom. The symmetry is P4/mmm (123).

Cell and atoms, written as extended XYZ:
```
4
Lattice="3.323 0.000 0.000 0.000 3.323 0.000 0.000 0.000 6.680" Properties=species:S:1:pos:R:3 pbc="T T T"
Zr 0.000 0.000 1.665
Zr 0.000 0.000 5.015
Rh 1.662 1.662 0.000
W 1.662 1.662 3.340
```



No. 5
The following is a PBE calculation of an optimized crystal structure of Cs2PmHg2O4, from the Alexandria database.

Output
The calculation puts the magnetization at 0.00 μB per cell. The symmetry is C2/m (12). Its formation energy (no corrections) is -1.36 eV per atom.

Cell and atoms, written as extended XYZ:
```
9
Lattice="7.883 -1.831 0.000 7.883 1.831 0.000 -1.564 0.000 7.147" Properties=species:S:1:pos:R:3 pbc="T T T"
Cs 1.834 0.000 0.480
Cs 12.368 0.000 6.667
Pm -0.782 0.000 3.574
Hg 4.226 0.000 3.259
Hg 9.977 0.000 3.888
O 1.223 0.000 4.965
O 6.107 0.000 4.794
O 8.095 0.000 2.353
O 12.980 0.000 2.183
```



No. 6
The following is a PBE calculation of an optimized crystal structure of Tb5Pr2NdSm, from the Alexandria database.

Output
Its total energy is -79.9 eV for the cell shown. The calculation puts the magnetization at 0.00 μB per cell. The symmetry is I4/mcm (140).

Cell and atoms, written as extended XYZ:
```
18
Lattice="-4.376 4.376 7.904 4.376 -4.376 7.904 4.376 4.376 -7.904" Properties=species:S:1:pos:R:3 pbc="T T T"
Tb 0.000 0.000 0.000
Tb 6.211 1.835 -2.193
Tb 1.835 2.541 -2.193
Tb 6.211 1.835 2.193
Tb 1.835 2.541 2.193
Tb 0.000 0.000 7.904
Tb 2.541 1.835 5.711
Tb -1.835 2.541 5.711
Tb 2.541 1.835 10.098
Tb -1.835 2.541 10.098
Pr 3.339 1.037 0.000
Pr 3.339 -1.037 7.904
Pr 1.037 5.413 0.000
Pr 1.037 3.339 7.904
Nd 0.000 0.000 3.952
Nd 0.000 0.000 11.857
Sm 4.376 0.000 3.952
Sm 0.000 4.376 3.952
```



No. 7
The following is a PBE calculation of an optimized crystal structure of Tb6Cu2Au, from the Alexandria database.

Output
Its total energy is -83.6 eV for the cell shown. The calculation puts the magnetization at 0.00 μB per cell. The symmetry is Immm (71).

Cell and atoms, written as extended XYZ:
```
18
Lattice="-4.776 4.849 4.978 4.776 -4.849 4.978 4.776 4.849 -4.978" Properties=species:S:1:pos:R:3 pbc="T T T"
Tb 4.776 3.029 -2.511
Tb 2.616 1.727 0.000
Tb 6.936 1.727 0.000
Tb 1.885 4.849 -1.734
Tb 2.891 0.000 3.244
Tb 0.000 1.820 2.467
Tb 4.776 3.029 2.511
Tb 1.885 4.849 1.734
Tb 2.891 0.000 6.712
Tb -2.160 3.122 4.978
Tb 2.160 3.122 4.978
Tb 0.000 1.820 7.489
Cu 4.776 0.000 1.201
Cu 0.000 3.429 0.000
Cu 0.000 6.269 0.000
Cu 0.000 4.849 3.777
Au 0.000 0.000 0.000
Au 0.000 0.000 4.978
```



No. 8
The following is a PBE calculation of an optimized crystal structure of KAg3Te2, from the Alexandria database.

Output
The calculation puts the magnetization at 0.00 μB per cell. The symmetry is C2/m (12). Its formation energy (no corrections) is -0.32 eV per atom.

Cell and atoms, written as extended XYZ:
```
12
Lattice="9.045 -2.369 0.000 9.045 2.369 0.000 -2.571 0.000 8.779" Properties=species:S:1:pos:R:3 pbc="T T T"
K 1.395 0.000 4.242
K 14.125 0.000 4.536
Ag 1.313 0.000 0.735
Ag 1.267 0.000 8.241
Ag 6.675 0.000 7.264
Ag 8.846 0.000 1.515
Ag 14.254 0.000 0.537
Ag 14.207 0.000 8.044
Te -1.088 0.000 6.621
Te 3.711 0.000 6.987
Te 11.809 0.000 1.792
Te 16.608 0.000 2.158
```



No. 9
The following is a PBE calculation of an optimized crystal structure of RbHgAs, from the Alexandria database.

Output
Its total energy is -13.4 eV for the cell shown. The calculation puts the magnetization at 0.00 μB per cell. The symmetry is P2_1/m (11).

Cell and atoms, written as extended XYZ:
```
6
Lattice="6.289 0.000 0.000 0.000 4.008 0.000 -1.623 0.000 8.743" Properties=species:S:1:pos:R:3 pbc="T T T"
Rb 0.618 1.002 2.286
Rb 4.048 3.006 6.457
Hg 0.919 1.002 5.953
Hg 3.746 3.006 2.790
As 0.755 3.006 8.658
As 3.910 1.002 0.085
```



No. 10
The following is a PBE calculation of an optimized crystal structure of NpAsO6, from the Alexandria database.

Output
The calculation puts the magnetization at 0.00 μB per cell. The value obtained for the offset from the most stable computed form is 128 meV/atom. The symmetry is C2/m (12). Its formation energy (no corrections) is -1.64 eV per atom.

Cell and atoms, written as extended XYZ:
```
8
Lattice="2.450 -4.824 0.000 2.450 4.824 0.000 -1.184 0.000 4.740" Properties=species:S:1:pos:R:3 pbc="T T T"
Np 0.000 0.000 0.000
As 1.858 0.000 2.370
O 1.017 1.265 1.268
O 0.389 0.000 3.494
O 1.017 -1.265 1.268
O 2.699 1.265 3.472
O 3.327 0.000 1.246
O 2.699 -1.265 3.472
```



No. 11
The following is a PBE calculation of an optimized crystal structure of Er8Co2Rh, from the Alexandria database.

Output
The calculation puts the magnetization at 0.00 μB per cell. The value obtained for the offset from the most stable computed form is 54 meV/atom. The symmetry is Cm (8).

Cell and atoms, written as extended XYZ:
```
11
Lattice="4.032 -6.125 0.000 4.032 6.125 0.000 -1.813 0.000 5.535" Properties=species:S:1:pos:R:3 pbc="T T T"
Er 0.000 0.000 0.000
Er 0.215 1.604 3.243
Er 2.601 2.660 1.022
Er 0.215 -1.604 3.243
Er 3.215 1.609 4.304
Er 2.601 -2.660 1.022
Er 3.215 -1.609 4.304
Er 5.184 0.000 2.047
Co 1.712 3.786 3.794
Co 1.712 -3.786 3.794
Rh 2.335 0.000 1.756
```



No. 12
The following is a PBE calculation of an optimized crystal structure of KCdHgTe, from the Alexandria database.

Output
The calculation puts the magnetization at 0.00 μB per cell. The symmetry is F-43m (216). Its formation energy (no corrections) is -0.33 eV per atom.

Cell and atoms, written as extended XYZ:
```
4
Lattice="0.000 3.973 3.973 3.973 0.000 3.973 3.973 3.973 0.000" Properties=species:S:1:pos:R:3 pbc="T T T"
K 0.000 0.000 0.000
Cd 3.973 3.973 3.973
Hg 5.959 5.959 5.959
Te 1.986 1.986 1.986
```